1.
# LaGeMo2

A relaxed LaGeMo2 crystal (PBE, Alexandria via LeMat-Bulk).

Cell lengths 7.800, 7.800, 6.198 Å; angles 51.01, 51.01, 90.00 degrees
Positions (direct):
La 0.750 0.250 0.500
La 0.000 0.000 0.000
Mo 0.195 0.625 0.250
Mo 0.375 0.445 0.750
Mo 0.875 0.805 0.750
Mo 0.555 0.125 0.250
Ge 0.500 0.500 0.000
Ge 0.250 0.750 0.500

Results
Size of the total moment in Bohr magnetons per cell: 0.0
Crystal system: tetragonal
ΔH_f (0 K) in kJ/mol of atoms: 56.3
Theoretical density in Mg/m³: 7.787
VASP energy in Ry per atom: -0.5305

=====

2.
# LaGe3Mo

A relaxed LaGe3Mo crystal (PBE, Alexandria via LeMat-Bulk).

Cell lengths 4.886, 4.886, 4.886 Å; angles 90.00, 90.00, 90.00 degrees
Positions (direct):
Ge 0.000 0.500 0.000
Ge 0.500 0.000 0.000
Ge 0.000 0.000 0.500
Mo 0.000 0.000 0.000
La 0.500 0.500 0.500

Results
Size of the total moment in Bohr magnetons per cell: 0.0
Crystal system: cubic
ΔH_f (0 K) in kJ/mol of atoms: -15.6
Theoretical density in Mg/m³: 6.444
VASP energy in Ry per atom: -0.4471